First-principles (PBE-GGA) data for crystalline MnTe2Os at its relaxed geometry, as listed in Alexandria.

a b c (Å): 4.002 4.002 6.994
angles (deg): 106.57 106.57 59.88
Fractional coordinates of all 4 atoms:
Mn: 0.000 0.000 0.000
Te: 0.264 0.264 0.792
Te: 0.444 0.444 0.331
Os: 0.697 0.697 0.091

- symmetry = Cm (8)
- uncorrected formation energy (eV/f.u.) = 0.9
- polymorph energy (0 for the lowest one) (meV per atom) = 137



First-principles (PBE-GGA) data for crystalline TlSiC2 at its relaxed geometry, as listed in Alexandria.

a b c (Å): 5.812 5.812 5.812
angles (deg): 130.10 130.10 73.24
Fractional coordinates of all 8 atoms:
Tl: 0.000 0.000 0.000
Tl: 0.750 0.250 0.500
Si: 0.250 0.750 0.500
Si: 0.500 0.500 0.000
C: 0.202 0.625 0.077
C: 0.375 0.452 0.577
C: 0.548 0.125 0.923
C: 0.875 0.798 0.423

- symmetry = I-42d (122)
- uncorrected formation energy (eV/f.u.) = 3.7
- polymorph energy (0 for the lowest one) (meV per atom) = 0



First-principles (PBE-GGA) data for crystalline Y2MnPb at its relaxed geometry, as listed in Alexandria.

a b c (Å): 6.479 6.479 6.479
angles (deg): 102.36 102.36 124.89
Fractional coordinates of all 8 atoms:
Y: 0.057 0.125 0.432
Y: 0.375 0.943 0.068
Y: 0.693 0.625 0.568
Y: 0.875 0.307 0.932
Mn: 0.000 0.000 0.000
Mn: 0.750 0.250 0.500
Pb: 0.250 0.750 0.500
Pb: 0.500 0.500 0.000

- formation energy (eV/f.u.) = 1.599
- symmetry = I-42d (122)



First-principles (PBE-GGA) data for crystalline Pm3NdSm4 at its relaxed geometry, as listed in Alexandria.

a b c (Å): 11.776 7.364 6.370
angles (deg): 90.00 90.00 90.00
Fractional coordinates of all 16 atoms:
Pm: 0.000 0.126 0.000
Pm: 0.250 0.126 0.333
Pm: 0.250 0.874 0.833
Pm: 0.500 0.874 0.500
Pm: 0.750 0.126 0.333
Pm: 0.750 0.874 0.833
Nd: 0.000 0.875 0.500
Nd: 0.500 0.125 0.000
Sm: 0.000 0.376 0.500
Sm: 0.000 0.625 0.000
Sm: 0.250 0.376 0.833
Sm: 0.250 0.624 0.333
Sm: 0.500 0.375 0.500
Sm: 0.500 0.624 0.000
Sm: 0.750 0.376 0.833
Sm: 0.750 0.624 0.333

- formation energy (eV/f.u.) = 0.250
- symmetry = Pmn2_1 (31)
- polymorph energy (0 for the lowest one) (meV per atom) = 0